Entry 1:
! YMn2Mo PBE optimized geometry; values from VASP
! - VASP energy: -8.59 eV/atom
! - Total moment: 4.26 μB/cell
! - Crystal system: tetragonal
! - Polymorph energy (0 for the lowest one): 0.1150 eV per atom
&SYSTEM
  ibrav = 0, nat = 4, ntyp = 3
/
ATOMIC_SPECIES
Mn 54.94 Mn.upf
Mo 95.94 Mo.upf
Y 88.91 Y.upf
CELL_PARAMETERS angstrom
3.077 0.000 0.000
0.000 3.065 0.270
0.000 2.422 7.559
ATOMIC_POSITIONS crystal
Mn 0.000 0.940 0.060
Mo 0.000 0.562 0.437
Mn 0.500 0.238 0.262
Y 0.500 0.760 0.740

***

Entry 2:
! YAgC PBE optimized geometry; values from VASP
! - VASP energy: -6.33 eV/atom
! - Total moment: 0.00 μB/cell
! - Crystal system: monoclinic
&SYSTEM
  ibrav = 0, nat = 6, ntyp = 3
/
ATOMIC_SPECIES
Y 88.91 Y.upf
C 12.01 C.upf
Ag 107.87 Ag.upf
CELL_PARAMETERS angstrom
3.713 0.000 -0.003
0.000 3.582 0.000
1.086 0.000 8.114
ATOMIC_POSITIONS crystal
Y 0.591 0.440 0.665
C 0.045 0.440 0.852
Y 0.264 0.940 0.039
Ag 0.152 0.940 0.433
C 0.759 0.440 0.971
Ag 0.695 0.440 0.277

***

Entry 3:
! Ce2Tl2InS6 PBE optimized geometry; values from VASP
! - VASP energy: -5.17 eV/atom
! - Total moment: 1.04 μB/cell
! - Formation energy (no corrections): -1.165 eV per atom
! - Crystal system: monoclinic
&SYSTEM
  ibrav = 0, nat = 11, ntyp = 4
/
ATOMIC_SPECIES
In 114.82 In.upf
Ce 140.12 Ce.upf
S 32.06 S.upf
Tl 204.38 Tl.upf
CELL_PARAMETERS angstrom
-3.210 -1.138 6.125
-2.109 -3.395 -5.756
6.635 -4.103 1.394
ATOMIC_POSITIONS crystal
In 0.000 0.000 0.500
Ce 0.667 0.333 0.500
S 0.064 0.394 0.697
Ce 0.333 0.667 0.500
S 0.606 0.936 0.303
S 0.936 0.606 0.303
S 0.394 0.064 0.697
Tl 0.169 0.831 0.000
S 0.752 0.752 0.693
Tl 0.831 0.169 0.000
S 0.248 0.248 0.307

***

Entry 4:
! Mg2TaMo PBE optimized geometry; values from VASP
! - VASP energy: -6.15 eV/atom
! - Total moment: 0.00 μB/cell
! - Crystal system: monoclinic
! - Polymorph energy (0 for the lowest one): 0.1645 eV per atom
&SYSTEM
  ibrav = 0, nat = 4, ntyp = 3
/
ATOMIC_SPECIES
Mo 95.94 Mo.upf
Mg 24.30 Mg.upf
Ta 180.95 Ta.upf
CELL_PARAMETERS angstrom
5.563 0.031 -0.063
-2.900 4.747 -0.063
0.348 0.625 2.701
ATOMIC_POSITIONS crystal
Mo 0.500 0.000 0.500
Mg 0.500 0.500 0.000
Mg 0.000 0.000 0.000
Ta 0.000 0.500 0.500

***

Entry 5:
! TaTlAg2Se4 PBE optimized geometry; values from VASP
! - VASP energy: -4.63 eV/atom
! - Total moment: 0.00 μB/cell
! - Formation energy (no corrections): -0.397 eV per atom
! - Crystal system: tetragonal
&SYSTEM
  ibrav = 0, nat = 8, ntyp = 4
/
ATOMIC_SPECIES
Ag 107.87 Ag.upf
Ta 180.95 Ta.upf
Se 78.96 Se.upf
Tl 204.38 Tl.upf
CELL_PARAMETERS angstrom
-2.632 4.308 -4.907
-4.114 -4.256 3.811
2.486 2.416 6.127
ATOMIC_POSITIONS crystal
Ag 0.500 0.250 0.750
Ag 0.500 0.750 0.250
Ta 0.000 0.500 0.500
Se 0.000 0.158 0.566
Se 0.408 0.842 0.842
Se 0.592 0.434 0.434
Se 0.000 0.566 0.158
Tl 0.000 0.000 0.000

***

Entry 6:
! Ca3TmPb2S PBE optimized geometry; values from VASP
! - VASP energy: -4.02 eV/atom
! - Total moment: 0.00 μB/cell
! - Formation energy (no corrections): -0.873 eV per atom
! - Crystal system: orthorhombic
&SYSTEM
  ibrav = 0, nat = 7, ntyp = 4
/
ATOMIC_SPECIES
Pb 207.20 Pb.upf
Ca 40.08 Ca.upf
S 32.06 S.upf
Tm 168.93 Tm.upf
CELL_PARAMETERS angstrom
5.190 0.000 0.000
0.000 5.156 0.000
-2.595 -2.578 8.183
ATOMIC_POSITIONS crystal
Pb 0.628 0.628 0.255
Ca 0.000 0.500 0.000
Ca 0.176 0.176 0.351
S 0.000 0.000 0.000
Tm 0.500 0.000 0.000
Ca 0.824 0.824 0.649
Pb 0.372 0.372 0.745

***

Entry 7:
! Li4Ho3PaSe8 PBE optimized geometry; values from VASP
! - VASP energy: -5.24 eV/atom
! - Total moment: 1.71 μB/cell
! - Formation energy (no corrections): -1.568 eV per atom
! - Crystal system: trigonal
&SYSTEM
  ibrav = 0, nat = 16, ntyp = 4
/
ATOMIC_SPECIES
Se 78.96 Se.upf
Li 6.94 Li.upf
Pa 231.04 Pa.upf
Ho 164.93 Ho.upf
CELL_PARAMETERS angstrom
-7.318 -0.855 -3.351
-2.159 -4.910 5.966
2.868 7.391 1.627
ATOMIC_POSITIONS crystal
Se 0.249 0.243 0.996
Li 0.000 0.000 0.000
Li 0.500 0.000 0.000
Se 0.747 0.243 0.996
Li 0.500 0.000 0.500
Se 0.253 0.757 0.506
Pa 0.000 0.500 0.000
Se 0.751 0.757 0.004
Se 0.253 0.757 0.004
Se 0.751 0.753 0.502
Ho 0.000 0.500 0.500
Ho 0.500 0.500 0.000
Se 0.249 0.247 0.498
Ho 0.500 0.500 0.500
Li 0.000 0.000 0.500
Se 0.747 0.243 0.494

***

Entry 8:
! Tb4Y2Ge3O2 PBE optimized geometry; values from VASP
! - VASP energy: -6.59 eV/atom
! - Total moment: 0.00 μB/cell
! - Formation energy (no corrections): -1.568 eV per atom
! - Crystal system: tetragonal
&SYSTEM
  ibrav = 0, nat = 11, ntyp = 4
/
ATOMIC_SPECIES
Ge 72.64 Ge.upf
O 16.00 O.upf
Tb 158.93 Tb.upf
Y 88.91 Y.upf
CELL_PARAMETERS angstrom
-2.813 -3.314 -1.404
2.938 -1.085 -3.325
5.326 -5.449 9.624
ATOMIC_POSITIONS crystal
Ge 0.824 0.824 0.647
O 0.401 0.401 0.801
Tb 0.081 0.581 0.162
Tb 0.419 0.919 0.838
Ge 0.176 0.176 0.353
Ge 0.000 0.000 0.000
O 0.599 0.599 0.199
Tb 0.581 0.081 0.162
Tb 0.919 0.419 0.838
Y 0.302 0.302 0.603
Y 0.698 0.698 0.397

***

Entry 9:
! Ho8Al2In3 PBE optimized geometry; values from VASP
! - VASP energy: -4.19 eV/atom
! - Total moment: 0.00 μB/cell
! - Crystal system: orthorhombic
&SYSTEM
  ibrav = 0, nat = 13, ntyp = 3
/
ATOMIC_SPECIES
Al 26.98 Al.upf
In 114.82 In.upf
Ho 164.93 Ho.upf
CELL_PARAMETERS angstrom
5.332 0.000 0.742
0.000 8.833 0.000
-1.073 -4.417 7.707
ATOMIC_POSITIONS crystal
Al 0.500 0.224 0.447
In 0.000 0.322 0.000
Ho 0.500 0.588 0.753
Al 0.500 0.776 0.553
In 0.500 0.000 0.000
Ho 0.000 0.109 0.219
Ho 0.000 0.891 0.781
In 0.000 0.678 0.000
Ho 0.000 0.314 0.629
Ho 0.500 0.412 0.247
Ho 0.000 0.686 0.371
Ho 0.500 0.835 0.247
Ho 0.500 0.165 0.753

***

Entry 10:
! TmFe2Si2 PBE optimized geometry; values from VASP
! - VASP energy: -7.01 eV/atom
! - Total moment: 2.57 μB/cell
! - Formation energy (no corrections): -0.562 eV per atom
! - Crystal system: tetragonal
&SYSTEM
  ibrav = 0, nat = 5, ntyp = 3
/
ATOMIC_SPECIES
Si 28.09 Si.upf
Tm 168.93 Tm.upf
Fe 55.84 Fe.upf
CELL_PARAMETERS angstrom
-0.742 -3.682 -0.748
3.757 -0.733 -0.115
-0.043 -0.997 4.948
ATOMIC_POSITIONS crystal
Si 0.500 0.500 0.238
Si 0.500 0.500 0.762
Tm 0.000 0.000 0.000
Fe 0.000 0.500 0.500
Fe 0.500 0.000 0.500

***

Entry 11:
! Ca2NdGa2 PBE optimized geometry; values from VASP
! - VASP energy: -3.29 eV/atom
! - Total moment: 0.00 μB/cell
! - Crystal system: monoclinic
&SYSTEM
  ibrav = 0, nat = 5, ntyp = 3
/
ATOMIC_SPECIES
Ga 69.72 Ga.upf
Ca 40.08 Ca.upf
Nd 144.24 Nd.upf
CELL_PARAMETERS angstrom
4.009 0.000 0.000
0.000 6.094 0.126
-2.005 -1.624 6.020
ATOMIC_POSITIONS crystal
Ga 0.300 0.914 0.599
Ca 0.357 0.425 0.714
Nd 0.000 0.000 0.000
Ga 0.700 0.086 0.401
Ca 0.643 0.575 0.286

***

Entry 12:
! Ac2NdScTe4 PBE optimized geometry; values from VASP
! - VASP energy: -5.33 eV/atom
! - Total moment: 0.00 μB/cell
! - Formation energy (no corrections): -1.348 eV per atom
! - Crystal system: monoclinic
&SYSTEM
  ibrav = 0, nat = 8, ntyp = 4
/
ATOMIC_SPECIES
Ac 227.00 Ac.upf
Te 127.60 Te.upf
Nd 144.24 Nd.upf
Sc 44.96 Sc.upf
CELL_PARAMETERS angstrom
-4.421 0.147 -0.528
0.860 -1.496 -7.621
-0.698 -6.972 3.901
ATOMIC_POSITIONS crystal
Ac 0.500 0.000 0.500
Ac 0.000 0.500 0.500
Te 0.500 0.773 0.782
Te 0.000 0.246 0.774
Te 0.000 0.754 0.226
Te 0.500 0.227 0.218
Nd 0.500 0.500 0.000
Sc 0.000 0.000 0.000

***

Entry 13:
! AlSbCl3 PBE optimized geometry; values from VASP
! - VASP energy: -3.01 eV/atom
! - Total moment: 2.43 μB/cell
! - Formation energy (no corrections): -0.333 eV per atom
! - Crystal system: cubic
! - Polymorph energy (0 for the lowest one): 0.0000 eV per atom
&SYSTEM
  ibrav = 0, nat = 5, ntyp = 3
/
ATOMIC_SPECIES
Sb 121.76 Sb.upf
Al 26.98 Al.upf
Cl 35.45 Cl.upf
CELL_PARAMETERS angstrom
4.996 0.000 0.000
0.000 4.996 0.000
0.000 0.000 4.996
ATOMIC_POSITIONS crystal
Sb 0.500 0.500 0.500
Al 0.000 0.000 0.000
Cl 0.000 0.500 0.000
Cl 0.000 0.000 0.500
Cl 0.500 0.000 0.000

***

Entry 14:
! ScNi2Ag PBE optimized geometry; values from VASP
! - VASP energy: -4.98 eV/atom
! - Total moment: 0.66 μB/cell
! - Crystal system: trigonal
&SYSTEM
  ibrav = 0, nat = 4, ntyp = 3
/
ATOMIC_SPECIES
Sc 44.96 Sc.upf
Ni 58.69 Ni.upf
Ag 107.87 Ag.upf
CELL_PARAMETERS angstrom
-1.146 3.286 7.897
1.395 1.918 8.298
1.349 4.605 7.173
ATOMIC_POSITIONS crystal
Sc 0.509 0.509 0.509
Ni 0.254 0.254 0.254
Ni 0.993 0.993 0.993
Ag 0.744 0.744 0.744

***

Entry 15:
! Tb3NpCo8 PBE optimized geometry; values from VASP
! - VASP energy: -7.11 eV/atom
! - Total moment: 3.70 μB/cell
! - Crystal system: trigonal
&SYSTEM
  ibrav = 0, nat = 12, ntyp = 3
/
ATOMIC_SPECIES
Co 58.93 Co.upf
Tb 158.93 Tb.upf
Np 237.00 Np.upf
CELL_PARAMETERS angstrom
4.841 0.000 1.461
2.200 4.312 1.461
0.001 0.001 8.745
ATOMIC_POSITIONS crystal
Co 0.688 0.688 0.937
Co 0.937 0.442 0.684
Tb 0.500 0.500 0.500
Co 0.442 0.937 0.684
Co 0.936 0.436 0.191
Co 0.436 0.936 0.191
Np 0.875 0.875 0.375
Tb 0.000 0.000 0.001
Co 0.436 0.436 0.191
Tb 0.375 0.375 0.876
Co 0.937 0.937 0.684
Co 0.188 0.188 0.436

***

Entry 16:
! TaTcRu2 PBE optimized geometry; values from VASP
! - VASP energy: -10.19 eV/atom
! - Total moment: 0.00 μB/cell
! - Crystal system: orthorhombic
! - Polymorph energy (0 for the lowest one): 0.1271 eV per atom
&SYSTEM
  ibrav = 0, nat = 4, ntyp = 3
/
ATOMIC_SPECIES
Tc 98.00 Tc.upf
Ru 101.07 Ru.upf
Ta 180.95 Ta.upf
CELL_PARAMETERS angstrom
-0.431 -0.025 -5.128
3.223 -3.113 -2.530
-3.715 0.170 3.557
ATOMIC_POSITIONS crystal
Tc 0.250 0.750 0.500
Ru 0.986 0.986 0.000
Ta 0.750 0.250 0.500
Ru 0.514 0.514 0.000

***

Entry 17:
! Pr6Tl5Ag PBE optimized geometry; values from VASP
! - VASP energy: -3.97 eV/atom
! - Total moment: 0.03 μB/cell
! - Crystal system: orthorhombic
! - Polymorph energy (0 for the lowest one): 0.0000 eV per atom
&SYSTEM
  ibrav = 0, nat = 12, ntyp = 3
/
ATOMIC_SPECIES
Pr 140.91 Pr.upf
Tl 204.38 Tl.upf
Ag 107.87 Ag.upf
CELL_PARAMETERS angstrom
5.243 -0.031 1.747
0.042 7.853 0.014
-0.003 -0.016 8.749
ATOMIC_POSITIONS crystal
Pr 0.164 0.246 0.672
Pr 0.836 0.246 0.328
Tl 0.665 0.000 0.671
Pr 0.164 0.754 0.672
Tl 0.335 0.000 0.329
Tl 0.333 0.500 0.334
Tl 0.667 0.500 0.666
Tl 0.000 0.500 0.000
Pr 0.836 0.754 0.328
Pr 0.500 0.244 0.000
Ag 0.000 0.000 0.000
Pr 0.500 0.756 0.000

***

Entry 18:
! RbVFe3 PBE optimized geometry; values from VASP
! - VASP energy: -5.80 eV/atom
! - Total moment: 5.60 μB/cell
! - Crystal system: cubic
! - Polymorph energy (0 for the lowest one): 0.0000 eV per atom
&SYSTEM
  ibrav = 0, nat = 5, ntyp = 3
/
ATOMIC_SPECIES
Rb 85.47 Rb.upf
Fe 55.84 Fe.upf
V 50.94 V.upf
CELL_PARAMETERS angstrom
-0.446 0.999 -4.543
-4.643 -0.382 0.372
-0.292 4.549 1.029
ATOMIC_POSITIONS crystal
Rb 0.500 0.500 0.500
Fe 0.000 0.500 0.000
V 0.000 0.000 0.000
Fe 0.500 0.000 0.000
Fe 0.000 0.000 0.500

***

Entry 19:
! LiAs2I PBE optimized geometry; values from VASP
! - VASP energy: -3.47 eV/atom
! - Total moment: 0.00 μB/cell
! - Formation energy (no corrections): -0.277 eV per atom
! - Crystal system: tetragonal
! - Polymorph energy (0 for the lowest one): 0.0000 eV per atom
&SYSTEM
  ibrav = 0, nat = 8, ntyp = 3
/
ATOMIC_SPECIES
I 126.90 I.upf
As 74.92 As.upf
Li 6.94 Li.upf
CELL_PARAMETERS angstrom
-3.614 0.498 1.443
1.360 -0.635 3.625
1.572 14.868 4.138
ATOMIC_POSITIONS crystal
I 0.000 0.000 0.000
As 0.375 0.439 0.750
As 0.561 0.125 0.250
Li 0.500 0.500 0.000
As 0.875 0.811 0.750
Li 0.250 0.750 0.500
As 0.189 0.625 0.250
I 0.750 0.250 0.500

***

Entry 20:
! HfNb6Ga5 PBE optimized geometry; values from VASP
! - VASP energy: -7.35 eV/atom
! - Total moment: 0.00 μB/cell
! - Crystal system: monoclinic
&SYSTEM
  ibrav = 0, nat = 12, ntyp = 3
/
ATOMIC_SPECIES
Ga 69.72 Ga.upf
Nb 92.91 Nb.upf
Hf 178.49 Hf.upf
CELL_PARAMETERS angstrom
-0.849 -0.559 4.288
5.674 -6.249 4.851
6.270 0.933 3.634
ATOMIC_POSITIONS crystal
Ga 0.500 0.500 0.000
Nb 0.740 0.427 0.667
Ga 0.000 0.319 0.363
Hf 0.000 0.000 0.000
Ga 0.500 0.840 0.321
Nb 0.260 0.907 0.667
Nb 0.234 0.266 0.000
Nb 0.740 0.093 0.333
Nb 0.766 0.734 0.000
Ga 0.000 0.681 0.637
Ga 0.500 0.160 0.679
Nb 0.260 0.573 0.333